[1]
VASP calculation (PBE) on a relaxed SrInF5 crystal.

Unit cell a=9.6970 b=7.0486 c=8.2957 alpha=90.00 beta=114.35 gamma=90.00
With the nearest neighbours (Å) after each atom.
Space group C2/c (No. 15)
Symmetry-distinct sites (fractional):
Sr 0.0000 0.0422 0.2500 (multiplicity 4)  7 F 2.38-2.61
In 0.0000 0.5000 0.0000 (multiplicity 4)  6 F 2.05-2.16
F 0.0000 0.4129 0.2500 (multiplicity 4)  2 In 2.16
F 0.0097 0.2020 0.9708 (multiplicity 8)  1 In 2.12
F 0.2313 0.4810 0.6170 (multiplicity 8)  1 In 2.05

The value obtained for the density of states at the Fermi level is 0.00 states/eV/f.u. The value obtained for the formation energy from raw total energies is -3.140 eV/atom. The volume is 18.4 A^3/atom.

[2]
VASP calculation (PBE) on a relaxed TaRe2Ir crystal.

Unit cell a=6.3209 b=6.3209 c=6.3209 alpha=90.00 beta=90.00 gamma=90.00
With the nearest neighbours (Å) after each atom.
Space group F-43m (No. 216)
Symmetry-distinct sites (fractional):
Ta 0.0000 0.0000 0.0000 (multiplicity 4)  4 Re 2.74, 4 Ir 2.74
Re 0.0000 0.0000 0.5000 (multiplicity 4)  4 Ir 2.74, 4 Re 2.74
Re 0.2500 0.2500 0.2500 (multiplicity 4)  4 Ta 2.74, 4 Re 2.74
Ir 0.2500 0.2500 0.7500 (multiplicity 4)  4 Ta 2.74, 4 Re 2.74

The calculation puts the formation energy at 107 meV/atom. The value obtained for the density of states at the Fermi level is 5.97 states/eV/f.u. The volume is 15.8 A^3/atom.

[3]
VASP calculation (PBE) on a relaxed Cs2PAuCl6 crystal.

Unit cell a=7.1973 b=7.1973 c=11.0773 alpha=90.00 beta=90.00 gamma=90.00
With the nearest neighbours (Å) after each atom.
Space group I4/mmm (No. 139)
Symmetry-distinct sites (fractional):
Cs 0.0000 0.5000 0.2500 (multiplicity 4)  12 Cl 3.62-3.76
P 0.0000 0.0000 0.0000 (multiplicity 2)  6 Cl 2.40-2.48
Au 0.0000 0.0000 0.5000 (multiplicity 2)  4 Cl 2.61
Cl 0.0000 0.0000 0.2168 (multiplicity 4)  1 P 2.40
Cl 0.2433 0.2433 0.0000 (multiplicity 8)  1 P 2.48, 1 Au 2.61

The value obtained for the density of states at the Fermi level is 0.03 states/eV/f.u. The value obtained for the formation energy from raw total energies is -1.011 eV/atom. The volume is 28.7 A^3/atom.